(1)
VASP calculation (PBE-GGA) on an optimized crystal structure of LaYNbO6.

a = 5.7437 Å, b = 5.7437 Å, c = 5.0288 Å
α = 90.20°, β = 89.84°, γ = 58.14°
Positions (direct):
La 0.9911 0.9914 0.0001
O 0.3483 0.6221 0.2721
O 0.0486 0.3083 0.2993
O 0.6222 0.3481 0.7276
O 0.3088 0.0487 0.7016
O 0.6359 0.0248 0.2816
O 0.0249 0.6365 0.7179
Y 0.6702 0.6702 0.5001
Nb 0.3499 0.3500 0.4998

Calculated values
- Raw formation energy: -2856 meV/atom
- Calculated density: 4.911 Mg/m³
- E_tot: -8.55 eV per atom
- Total moment: 0.1152 μB/atom


(2)
VASP calculation (PBE-GGA) on an optimized crystal structure of LaZr2NbO8.

a = 4.9947 Å, b = 4.9899 Å, c = 6.7752 Å
α = 90.00°, β = 90.00°, γ = 88.82°
Positions (direct):
Nb 0.0000 0.0000 0.0000
O 0.6731 0.6756 0.5000
O 0.1981 0.8002 0.7878
O 0.1981 0.8002 0.2122
O 0.2960 0.2947 0.0000
O 0.8019 0.1998 0.7878
O 0.3269 0.3244 0.5000
O 0.8019 0.1998 0.2122
O 0.7040 0.7053 0.0000
Zr 0.5000 0.5000 0.7546
Zr 0.5000 0.5000 0.2454
La 0.0000 0.0000 0.5000

Calculated values
- Raw formation energy: -3097 meV/atom
- Calculated density: 5.334 Mg/m³
- E_tot: -9.08 eV per atom
- Total moment: 0.0000 μB/atom


(3)
VASP calculation (PBE-GGA) on an optimized crystal structure of LaNb2Os2.

a = 4.4475 Å, b = 4.4475 Å, c = 6.3182 Å
α = 69.39°, β = 69.39°, γ = 90.00°
Positions (direct):
Os 0.2500 0.7500 0.5000
Os 0.7500 0.2500 0.5000
Nb 0.3685 0.3685 0.2629
Nb 0.6315 0.6315 0.7371
La 0.0000 0.0000 0.0000

Calculated values
- Calculated density: 10.803 Mg/m³
- E_tot: -9.36 eV per atom
- Total moment: 0.0003 μB/atom
- Calculated formation energy: 13.9 kJ per mole of atoms


(4)
VASP calculation (PBE-GGA) on an optimized crystal structure of La3NbOs.

a = 5.3640 Å, b = 5.3640 Å, c = 5.3640 Å
α = 90.00°, β = 90.00°, γ = 90.00°
Positions (direct):
Os 0.5000 0.5000 0.5000
La 0.0000 0.0000 0.5000
La 0.5000 0.0000 0.0000
La 0.0000 0.5000 0.0000
Nb 0.0000 0.0000 0.0000

Calculated values
- Calculated density: 7.530 Mg/m³
- E_tot: -6.10 eV per atom
- Total moment: 0.0001 μB/atom
- Calculated formation energy: 108.1 kJ per mole of atoms


For reference, volume by record: 140.9 168.8 108.4 154.3 Å³/cell.